# 1
The following is a DFT calculation (PBE) of an optimized crystal structure of Sb2POsI.

Results
**Excess energy over the best structure of this formula in the dataset**: 0 meV per atom

a b c (Å): 5.0646 5.0646 5.4982
angles (deg): 90.00 90.00 90.00
Closest atoms and distances in Å follow each position.
Sites, in units of the cell vectors:
1 I 0.0000 0.0000 0.5000  2 Os 2.75
2 Sb 0.0000 0.5000 0.0000  2 Os 2.53
3 Sb 0.5000 0.0000 0.0000  2 Os 2.53
4 Os 0.0000 0.0000 0.0000  4 Sb 2.53, 2 I 2.75
5 P 0.5000 0.5000 0.5000  4 I 3.58, 8 Sb 3.74

=====

# 2
The following is a DFT calculation (PBE) of an optimized crystal structure of Sb2POsI.

Results
**Excess energy over the best structure of this formula in the dataset**: 605 meV per atom

a b c (Å): 5.0312 5.0312 5.0346
angles (deg): 90.00 90.00 90.00
Closest atoms and distances in Å follow each position.
Sites, in units of the cell vectors:
1 I 0.0000 0.0000 0.5000  2 P 2.52
2 Sb 0.0000 0.5000 0.0000  2 P 2.52
3 Sb 0.5000 0.0000 0.0000  2 P 2.52
4 Os 0.5000 0.5000 0.5000  4 I 3.56, 8 Sb 3.56
5 P 0.0000 0.0000 0.0000  4 Sb 2.52, 2 I 2.52

=====

# 3
The following is a DFT calculation (PBE) of an optimized crystal structure of ScPOsI2.

a b c (Å): 5.4972 4.9663 5.4972
angles (deg): 90.00 90.00 90.00
Closest atoms and distances in Å follow each position.
Sites, in units of the cell vectors:
1 I 0.0000 0.0000 0.5000  2 P 2.75
2 I 0.5000 0.0000 0.0000  2 P 2.75
3 Sc 0.0000 0.5000 0.0000  2 P 2.48
4 Os 0.5000 0.5000 0.5000  8 I 3.70, 4 Sc 3.89
5 P 0.0000 0.0000 0.0000  2 Sc 2.48, 4 I 2.75

=====

# 4
The following is a DFT calculation (PBE) of an optimized crystal structure of TaP2OsI.

a b c (Å): 4.7364 5.1276 4.7364
angles (deg): 90.00 90.00 90.00
Closest atoms and distances in Å follow each position.
Sites, in units of the cell vectors:
1 I 0.5000 0.5000 0.5000  4 Os 3.35, 8 P 3.49
2 P 0.0000 0.0000 0.5000  2 Ta 2.37
3 P 0.5000 0.0000 0.0000  2 Ta 2.37
4 Os 0.0000 0.5000 0.0000  2 Ta 2.56
5 Ta 0.0000 0.0000 0.0000  4 P 2.37, 2 Os 2.56

=====

Number 1: electronic total energy -4.28 eV/atom, spin magnetization 0.000 μB per atom. Number 2: electronic total energy -3.67 eV/atom, spin magnetization 0.000 μB per atom. Number 3: electronic total energy -3.94 eV/atom, spin magnetization 0.663 μB per atom. Number 4: electronic total energy -5.92 eV/atom, spin magnetization 0.000 μB per atom.